## a
# Te5P (PBE-GGA, relaxed)
data_Te5P
_chemical_formula_sum 'Te5 P1'
_symmetry_space_group_name_H-M 'P -6 2 m'
_symmetry_Int_Tables_number 189
_symmetry_space_group_name_Hall 'P -6 -2'
_cell_length_a 6.8830
_cell_length_b 6.8830
_cell_length_c 4.1992
_cell_angle_alpha 90.00
_cell_angle_beta 90.00
_cell_angle_gamma 120.00
loop_
_atom_site_label
_atom_site_type_symbol
_atom_site_fract_x
_atom_site_fract_y
_atom_site_fract_z
Te1 Te 0.0000 0.7105 0.0000
Te2 Te 0.3333 0.6667 0.5000
P1 P 0.0000 0.0000 0.5000
# Magnetic moment ... 0.000 μB per atom
# Crystal system ... hexagonal

***

## b
# Te5P (PBE-GGA, relaxed)
data_Te5P
_chemical_formula_sum 'Te10 P2'
_symmetry_space_group_name_H-M 'C 1 m 1'
_symmetry_Int_Tables_number 8
_symmetry_space_group_name_Hall 'C -2y'
_cell_length_a 13.880
_cell_length_b 4.147
_cell_length_c 8.139
_cell_angle_alpha 90.00
_cell_angle_beta 125.82
_cell_angle_gamma 90.00
loop_
_atom_site_label
_atom_site_type_symbol
_atom_site_fract_x
_atom_site_fract_y
_atom_site_fract_z
Te1 Te 0.000 0.000 0.000
Te2 Te 0.017 0.500 0.486
Te3 Te 0.180 0.500 0.297
Te4 Te 0.212 0.000 0.845
Te5 Te 0.357 0.000 0.592
P1 P 0.354 0.500 0.090
# Magnetic moment ... 0.000 μB per atom
# Crystal system ... monoclinic

***

Stability ranking, top and bottom: b is the most stable and a is the least stable.